Record 1
Compound: HfCuSbTe2
Source: Alexandria
Functional: PBE
Structure: optimized geometry

Structure (POSCAR):
```
HfCuSbTe2
1.0
5.5057 0.0000 0.0000
0.0000 5.5057 0.0000
0.0000 0.0000 5.5584
Sb Te Hf Cu
1 2 1 1
Direct
0.0000 0.0000 0.5000
0.0000 0.5000 0.0000
0.5000 0.0000 0.0000
0.0000 0.0000 0.0000
0.5000 0.5000 0.5000
```

Properties
Space group: P4/mmm (123)
Density in g cm⁻³: 6.1
D(E_F) in states/eV/cell: 4.9
M_tot in μB/atom: 0.0000
Energy above the lowest structure with this stoichiometry in eV per atom: 0.000

***

Record 2
Compound: Zr3Mn7Re2
Source: Alexandria
Functional: PBE
Structure: optimized geometry

Structure (POSCAR):
```
Zr3Mn7Re2
1.0
-3.3975 2.4841 -2.7000
-0.5608 -1.0200 -4.8631
-6.8785 -5.1361 -0.7003
Zr Mn Re
3 7 2
Direct
0.0000 0.0000 0.0000
0.8577 0.8577 0.4269
0.1423 0.1423 0.5731
0.5000 0.5000 0.5000
0.9171 0.4114 0.2601
0.4114 0.9171 0.2601
0.4114 0.4114 0.2601
0.0829 0.5886 0.7399
0.5886 0.5886 0.7399
0.5886 0.0829 0.7399
0.6663 0.6663 0.0012
0.3337 0.3337 0.9988
```

Properties
Space group: R-3m (166)
Density in g cm⁻³: 9.7
Energy of formation in meV per atom: -117
D(E_F) in states/eV/cell: 12.9
M_tot in μB/atom: 0.4644

***

Record 3
Compound: Tb3PdPt2
Source: Alexandria
Functional: PBE
Structure: optimized geometry

Structure (POSCAR):
```
Tb3PdPt2
1.0
3.5041 0.0000 0.0000
0.0000 4.7268 -1.5648
0.0000 -0.0210 7.8581
Tb Pd Pt
3 1 2
Direct
0.5000 0.5000 0.0000
0.5000 0.8311 0.6622
0.5000 0.1689 0.3378
0.0000 0.0000 0.0000
0.0000 0.3361 0.6723
0.0000 0.6639 0.3277
```

Properties
Space group: Cmmm (65)
Density in g cm⁻³: 12.4
Energy of formation in meV per atom: -1100
D(E_F) in states/eV/cell: 3.8
M_tot in μB/atom: 0.0000

***

Record 4
Compound: CrRe3Mo
Source: Alexandria
Functional: PBE
Structure: optimized geometry

Structure (POSCAR):
```
CrRe3Mo
1.0
-1.4142 -3.9927 -1.1907
2.5037 -1.8195 3.1274
-3.3303 0.3277 2.8568
Re Mo Cr
3 1 1
Direct
0.0000 0.5000 0.0000
0.0000 0.0000 0.5000
0.5000 0.0000 0.0000
0.5000 0.5000 0.5000
0.0000 0.0000 0.0000
```

Properties
Space group: Pm-3m (221)
Density in g cm⁻³: 13.8
Energy of formation in meV per atom: 1549
D(E_F) in states/eV/cell: 6.7
M_tot in μB/atom: 0.0003
Energy above the lowest structure with this stoichiometry in eV per atom: 0.000

***

Record 5
Compound: BaTa2W
Source: Alexandria
Functional: PBE
Structure: optimized geometry

Structure (POSCAR):
```
BaTa2W
1.0
-3.8877 -1.2150 2.7739
3.0288 -1.1551 3.7116
0.2427 4.4496 -2.0761
Ba W Ta
1 1 2
Direct
0.7501 0.2499 0.5000
0.5002 0.4998 0.0000
0.9998 0.0003 0.0000
0.2499 0.7501 0.5000
```

Properties
Space group: F222 (22)
Density in g cm⁻³: 13.5
Energy of formation in meV per atom: 1310
D(E_F) in states/eV/cell: 7.2
M_tot in μB/atom: 0.0000
Energy above the lowest structure with this stoichiometry in eV per atom: 0.713

***

Record 6
Compound: Pm2CuP3Pt4
Source: Alexandria
Functional: PBE
Structure: optimized geometry

Structure (POSCAR):
```
Pm2CuP3Pt4
1.0
-1.7660 0.7881 -3.8140
3.5482 -1.4008 -1.9324
-3.6227 -8.9411 -0.1702
Pm Cu P Pt
2 1 3 4
Direct
0.5000 0.0000 0.2513
0.0000 0.5000 0.7487
0.5000 0.5000 0.5000
0.0000 0.0000 0.5000
0.5000 0.0000 0.8665
0.0000 0.5000 0.1335
0.5000 0.5000 0.0000
0.0000 0.0000 0.0000
0.5000 0.0000 0.6246
0.0000 0.5000 0.3754
```

Properties
Space group: P-4m2 (115)
Density in g cm⁻³: 11.5
Energy of formation in meV per atom: -912
D(E_F) in states/eV/cell: 5.0
M_tot in μB/atom: 0.0000

***

Record 7
Compound: Na2LiMg2
Source: Alexandria
Functional: PBE
Structure: optimized geometry

Structure (POSCAR):
```
Na2LiMg2
1.0
-4.6659 -4.2647 -4.0812
5.8634 -2.7474 -3.8325
0.4753 -3.8722 3.5029
Na Mg Li
4 4 2
Direct
0.1692 0.6692 0.5000
0.6692 0.8308 0.5000
0.8308 0.3308 0.5000
0.3308 0.1692 0.5000
0.3595 0.8595 0.0000
0.8595 0.6405 0.0000
0.6405 0.1405 0.0000
0.1405 0.3595 0.0000
0.0000 0.0000 0.0000
0.5000 0.5000 0.0000
```

Properties
Space group: P4/mbm (127)
Density in g cm⁻³: 1.1
Energy of formation in meV per atom: 167
D(E_F) in states/eV/cell: 5.1
M_tot in μB/atom: 0.0000
Energy above the lowest structure with this stoichiometry in eV per atom: 0.000

***

Record 8
Compound: LiPr2Ga2Pt5
Source: Alexandria
Functional: PBE
Structure: optimized geometry

Structure (POSCAR):
```
LiPr2Ga2Pt5
1.0
3.7724 0.0000 0.0000
0.0000 9.9789 0.0000
0.0000 0.0000 9.9789
Li Pr Ga Pt
2 4 4 10
Direct
0.0000 0.0000 0.0000
0.0000 0.5000 0.5000
0.0000 0.6771 0.1771
0.0000 0.3229 0.8229
0.0000 0.1771 0.3229
0.0000 0.8229 0.6771
0.0000 0.1225 0.6225
0.0000 0.8775 0.3775
0.0000 0.6225 0.8775
0.0000 0.3775 0.1225
0.5000 0.2053 0.0612
0.5000 0.7947 0.9388
0.5000 0.0612 0.7947
0.5000 0.7053 0.4388
0.5000 0.9388 0.2053
0.5000 0.2947 0.5612
0.5000 0.5612 0.7053
0.5000 0.4388 0.2947
0.5000 0.5000 0.0000
0.5000 0.0000 0.5000
```

Properties
Space group: P4/mbm (127)
Density in g cm⁻³: 12.4
Energy of formation in meV per atom: -749
D(E_F) in states/eV/cell: 9.3
M_tot in μB/atom: 0.0000

***

Record 9
Compound: SrScSnSe2
Source: Alexandria
Functional: PBE
Structure: optimized geometry

Structure (POSCAR):
```
SrScSnSe2
1.0
-3.5795 -1.2790 4.0722
-3.8432 -1.8022 -3.9442
2.1371 -5.1375 0.2650
Sc Sr Sn Se
1 1 1 2
Direct
0.5000 0.5000 0.5000
0.0000 0.0000 0.0000
0.0000 0.5000 0.0000
0.0000 0.0000 0.5000
0.5000 0.0000 0.0000
```

Properties
Electronic total energy in eV/atom: -3.5735
Space group: P4/mmm (123)
Density in g cm⁻³: 3.8
D(E_F) in states/eV/cell: 5.7
M_tot in μB/atom: 0.0000

***

Record 10
Compound: Ce6SiPb2C
Source: Alexandria
Functional: PBE
Structure: optimized geometry

Structure (POSCAR):
```
Ce6SiPb2C
1.0
-1.4316 -0.9431 -4.9655
-1.3321 -4.9080 1.3162
-9.5950 3.1839 2.1617
Ce Si Pb C
6 1 2 1
Direct
0.5000 0.0000 0.0000
0.5000 0.0000 0.5000
0.0000 0.5000 0.0000
0.0000 0.5000 0.5000
0.5000 0.5000 0.7325
0.5000 0.5000 0.2675
0.5000 0.5000 0.0000
0.0000 0.0000 0.7470
0.0000 0.0000 0.2530
0.5000 0.5000 0.5000
```

Properties
Electronic total energy in eV/atom: -6.0258
Space group: P4/mmm (123)
Density in g cm⁻³: 7.5
D(E_F) in states/eV/cell: 21.5
M_tot in μB/atom: 0.4945

***

Record 11
Compound: Sc4Ag2Hg
Source: Alexandria
Functional: PBE
Structure: optimized geometry

Structure (POSCAR):
```
Sc4Ag2Hg
1.0
4.6191 0.0000 1.4431
2.0841 4.1222 1.4431
-0.0286 -0.0176 8.2054
Sc Ag Hg
4 2 1
Direct
0.8696 0.8696 0.3911
0.1304 0.1304 0.6089
0.6154 0.6154 0.1539
0.3846 0.3846 0.8461
0.7463 0.7463 0.7611
0.2537 0.2537 0.2389
0.0000 0.0000 0.0000
```

Properties
Space group: R-3m (166)
Density in g cm⁻³: 6.3
Energy of formation in meV per atom: -155
D(E_F) in states/eV/cell: 7.7
M_tot in μB/atom: 0.0001

***

Record 12
Compound: Rb3Np2TlO9
Source: Alexandria
Functional: PBE
Structure: optimized geometry

Structure (POSCAR):
```
Rb3Np2TlO9
1.0
-2.6944 2.5563 -5.1113
5.4976 -3.0688 -0.5277
-3.9456 -6.8379 -1.3399
Rb Np Tl O
3 2 1 9
Direct
0.3333 0.6667 0.6525
0.0000 0.0000 0.0000
0.6667 0.3333 0.3475
0.3333 0.6667 0.1456
0.6667 0.3333 0.8544
0.0000 0.0000 0.5000
0.8115 0.1885 0.7137
0.8115 0.6230 0.7137
0.3770 0.1885 0.7137
0.6230 0.8115 0.2863
0.1885 0.3770 0.2863
0.1885 0.8115 0.2863
0.5000 0.0000 0.0000
0.0000 0.5000 0.0000
0.5000 0.5000 0.0000
```

Properties
Electronic total energy in eV/atom: -7.2365
Space group: P-3m1 (164)
Density in g cm⁻³: 6.5
M_tot in μB/atom: 0.0000

***

Record 13
Compound: TaSiTe2
Source: Alexandria
Functional: PBE
Structure: optimized geometry

Structure (POSCAR):
```
TaSiTe2
1.0
5.2345 -0.0060 0.0241
-1.9100 4.8736 0.0241
1.0772 1.5771 3.5809
Si Ta Te
1 1 2
Direct
0.5000 0.0000 0.5000
0.0000 0.5000 0.5000
0.0000 0.0000 0.0000
0.5000 0.5000 0.0000
```

Properties
Electronic total energy in eV/atom: -5.2787
Space group: C2/m (12)
Density in g cm⁻³: 8.5
D(E_F) in states/eV/cell: 3.1
M_tot in μB/atom: 0.0000

***

Record 14
Compound: Nd3Er2In3
Source: Alexandria
Functional: PBE
Structure: optimized geometry

Structure (POSCAR):
```
Nd3Er2In3
1.0
-1.1661 -0.9399 -3.5005
0.1062 -5.3062 1.3894
-10.3007 3.8033 4.4809
Nd Er In
3 2 3
Direct
0.6246 0.6246 0.2491
0.3754 0.3754 0.7509
0.5000 0.0000 0.0000
0.7354 0.2354 0.4707
0.2646 0.7646 0.5293
0.1230 0.1230 0.2460
0.0000 0.5000 0.0000
0.8770 0.8770 0.7540
```

Properties
Space group: Immm (71)
Density in g cm⁻³: 7.8
Energy of formation in meV per atom: -364
D(E_F) in states/eV/cell: 8.1
M_tot in μB/atom: 0.0000

***

Record 15
Compound: K2NaPtF8
Source: Alexandria
Functional: PBE
Structure: optimized geometry

Structure (POSCAR):
```
K2NaPtF8
1.0
-5.5550 0.9391 -1.3692
2.7625 -4.6384 -2.1139
-2.0603 -3.8371 5.7271
K Na Pt F
2 1 1 8
Direct
0.6667 0.3333 0.1689
0.3333 0.6667 0.8311
0.0000 0.0000 0.5000
0.0000 0.0000 0.0000
0.8444 0.6889 0.8343
0.3111 0.1556 0.8343
0.8444 0.1556 0.8343
0.1556 0.3111 0.1657
0.6889 0.8444 0.1657
0.1556 0.8444 0.1657
0.6667 0.3333 0.5142
0.3333 0.6667 0.4858
```

Properties
Electronic total energy in eV/atom: -3.9607
Space group: P-3m1 (164)
Density in g cm⁻³: 3.6
D(E_F) in states/eV/cell: 17.0
M_tot in μB/atom: 0.0972

***

Record 16
Compound: Ca2AsW
Source: Alexandria
Functional: PBE
Structure: optimized geometry

Structure (POSCAR):
```
Ca2AsW
1.0
10.3742 0.0000 0.0000
0.0000 10.3742 0.0000
5.1871 5.1871 2.4055
As Ca W
2 4 2
Direct
0.5000 0.5000 0.0000
0.2500 0.7500 0.5000
0.4789 0.1250 0.2500
0.2711 0.6250 0.2500
0.3750 0.5211 0.7500
0.8750 0.7289 0.7500
0.0000 0.0000 0.0000
0.7500 0.2500 0.5000
```

Properties
Space group: I-42d (122)
Density in g cm⁻³: 4.3
Energy of formation in meV per atom: 493
D(E_F) in states/eV/cell: 7.7
M_tot in μB/atom: 0.5496

***

Record 17
Compound: SmPaGe2
Source: Alexandria
Functional: PBE
Structure: optimized geometry

Structure (POSCAR):
```
SmPaGe2
1.0
5.0720 0.0000 0.0000
2.5360 4.3925 0.0000
2.5360 1.4642 4.1413
Ge Pa Sm
2 1 1
Direct
0.2500 0.2500 0.2500
0.7500 0.7500 0.7500
0.0000 0.0000 0.0000
0.5000 0.5000 0.5000
```

Properties
Space group: Fm-3m (225)
Density in g cm⁻³: 9.5
Energy of formation in meV per atom: -403
D(E_F) in states/eV/cell: 7.2
M_tot in μB/atom: 0.0080
Energy above the lowest structure with this stoichiometry in eV per atom: 0.220

***

Record 18
Compound: TaAuO2
Source: Alexandria
Functional: PBE
Structure: optimized geometry

Structure (POSCAR):
```
TaAuO2
1.0
6.1166 0.0000 0.0000
0.0000 6.1166 0.0000
3.0583 3.0583 4.3254
Au O Ta
2 4 2
Direct
0.0000 0.0000 0.0000
0.7500 0.2500 0.5000
0.3753 0.1250 0.2500
0.3747 0.6250 0.2500
0.3750 0.6247 0.7500
0.8750 0.6253 0.7500
0.5000 0.5000 0.0000
0.2500 0.7500 0.5000
```

Properties
Space group: Fd-3m (227)
Density in g cm⁻³: 8.4
D(E_F) in states/eV/cell: 2.6
M_tot in μB/atom: 0.0000
Energy above the lowest structure with this stoichiometry in eV per atom: 0.097

***

Record 19
Compound: RbLi3H
Source: Alexandria
Functional: PBE
Structure: optimized geometry

Structure (POSCAR):
```
RbLi3H
1.0
5.0872 0.0000 0.0000
0.0000 5.0872 0.0000
0.0000 0.0000 5.0872
H Rb Li
1 1 3
Direct
0.0000 0.0000 0.0000
0.5000 0.5000 0.5000
0.0000 0.5000 0.0000
0.0000 0.0000 0.5000
0.5000 0.0000 0.0000
```

Properties
Electronic total energy in eV/atom: -1.7269
Space group: Pm-3m (221)
Density in g cm⁻³: 1.4
D(E_F) in states/eV/cell: 3.5
M_tot in μB/atom: 0.0000

***

Record 20
Compound: CePu2ThSe4
Source: Alexandria
Functional: PBE
Structure: optimized geometry

Structure (POSCAR):
```
CePu2ThSe4
1.0
4.1466 0.0000 0.0000
0.0000 7.2532 -0.1717
0.0000 2.5284 6.7588
Ce Pu Th Se
1 2 1 4
Direct
0.5000 0.5000 0.0000
0.0000 0.0000 0.0000
0.5000 0.0000 0.5000
0.0000 0.5000 0.5000
0.0000 0.7577 0.7483
0.0000 0.2423 0.2517
0.5000 0.7586 0.2461
0.5000 0.2414 0.7539
```

Properties
Electronic total energy in eV/atom: -8.6060
Space group: P2/m (10)
Density in g cm⁻³: 9.5
D(E_F) in states/eV/cell: 20.2
M_tot in μB/atom: 1.5282

***

Record 21
Compound: K2Be
Source: Alexandria
Functional: PBE
Structure: optimized geometry

Structure (POSCAR):
```
K2Be
1.0
2.2755 6.5520 -0.6528
-2.2755 6.5520 -0.6528
0.0000 0.3745 9.6143
K Be
4 2
Direct
0.8535 0.8535 0.1227
0.1465 0.1465 0.8773
0.8763 0.8763 0.6511
0.1237 0.1237 0.3489
0.4509 0.4509 0.9101
0.5491 0.5491 0.0899
```

Properties
Space group: C2/m (12)
Density in g cm⁻³: 1.0
Energy of formation in meV per atom: 638
D(E_F) in states/eV/cell: 4.8
M_tot in μB/atom: 0.0000
Energy above the lowest structure with this stoichiometry in eV per atom: 0.179

***

Record 22
Compound: PmZr4S8
Source: Alexandria
Functional: PBE
Structure: optimized geometry

Structure (POSCAR):
```
PmZr4S8
1.0
-1.8337 -2.5283 7.0141
-4.8520 -5.8955 0.8089
2.5980 -6.8047 2.4288
Pm Zr S
1 4 8
Direct
0.7500 0.7500 0.7500
0.9073 0.3642 0.3642
0.3642 0.9073 0.3642
0.3642 0.3642 0.9073
0.3642 0.3642 0.3642
0.6130 0.1290 0.1290
0.1290 0.6130 0.1290
0.1290 0.1290 0.6130
0.1290 0.1290 0.1290
0.1709 0.6097 0.6097
0.6097 0.1709 0.6097
0.6097 0.6097 0.1709
0.6097 0.6097 0.6097
```

Properties
Electronic total energy in eV/atom: -7.0931
Space group: F-43m (216)
Density in g cm⁻³: 4.0
D(E_F) in states/eV/cell: 11.0
M_tot in μB/atom: 0.0002

***

Record 23
Compound: TbDy6Sc12
Source: Alexandria
Functional: PBE
Structure: optimized geometry

Structure (POSCAR):
```
TbDy6Sc12
1.0
8.3126 0.3055 0.4303
-1.7646 8.1289 0.4303
-1.7646 -2.2729 7.8165
Tb Dy Sc
1 6 12
Direct
0.0000 0.0000 0.0000
0.7401 0.2206 0.2206
0.2206 0.2206 0.7401
0.2206 0.7401 0.2206
0.7794 0.7794 0.2599
0.2599 0.7794 0.7794
0.7794 0.2599 0.7794
0.8854 0.1146 0.5000
0.8335 0.5432 0.5432
0.5432 0.5432 0.8335
0.4568 0.1665 0.4568
0.4568 0.4568 0.1665
0.1665 0.4568 0.4568
0.1146 0.5000 0.8854
0.5000 0.8854 0.1146
0.1146 0.8854 0.5000
0.8854 0.5000 0.1146
0.5000 0.1146 0.8854
0.5432 0.8335 0.5432
```

Properties
Space group: R-3m (166)
Density in g cm⁻³: 5.1
Energy of formation in meV per atom: 508
D(E_F) in states/eV/cell: 28.7
M_tot in μB/atom: 0.0148

***

Record 24
Compound: Ce4RhAu3
Source: Alexandria
Functional: PBE
Structure: optimized geometry

Structure (POSCAR):
```
Ce4RhAu3
1.0
3.8835 0.0000 0.0000
0.0000 4.6637 0.0000
0.0000 0.0000 11.0725
Au Rh Ce
3 1 4
Direct
0.0000 0.5000 0.5862
0.0000 0.0000 0.4110
0.5000 0.0000 0.9152
0.5000 0.5000 0.1003
0.5000 0.5000 0.3419
0.0000 0.5000 0.8728
0.0000 0.0000 0.1357
0.5000 0.0000 0.6368
```

Properties
Space group: Pmm2 (25)
Density in g cm⁻³: 10.4
Energy of formation in meV per atom: -650
D(E_F) in states/eV/cell: 22.8
M_tot in μB/atom: 0.4194